--- w ---
BiAsPdO: relaxed, PBE.

Output
**SG**: Pmc2_1

Cell: 4.1738 5.5522 6.8677 Å, 90.00 90.00 90.00°
With the nearest neighbours (Å) after each atom.
Fractional positions:
Pd 0.0000 0.3168 0.9559  2 O 2.13
As 0.0000 0.7264 0.8151  2 Pd 2.47-2.48
Pd 0.0000 0.6832 0.4559  2 O 2.13
Bi 0.5000 0.8919 0.0687  2 O 2.29-2.52
O 0.5000 0.2578 0.9143  2 Pd 2.13, 1 Bi 2.29
O 0.5000 0.7422 0.4143  2 Pd 2.13, 1 Bi 2.29
Bi 0.5000 0.1081 0.5687  2 O 2.29-2.52
As 0.0000 0.2736 0.3151  2 Pd 2.47-2.48

---

--- x ---
BiAsPdO: relaxed, PBE.

Output
**SG**: P4/nmm

Cell: 4.4790 4.4790 8.3436 Å, 90.00 90.00 90.00°
With the nearest neighbours (Å) after each atom.
Fractional positions:
Bi 0.7500 0.2500 0.5000  4 As 3.02, 4 Bi 3.17
Pd 0.2500 0.2500 0.0305  4 O 2.25, 1 As 2.40
Bi 0.2500 0.7500 0.5000  4 As 3.02, 4 Bi 3.17
As 0.7500 0.7500 0.2570  1 Pd 2.40
As 0.2500 0.2500 0.7430  1 Pd 2.40
O 0.7500 0.2500 0.0000  4 Pd 2.25
O 0.2500 0.7500 0.0000  4 Pd 2.25
Pd 0.7500 0.7500 0.9695  4 O 2.25, 1 As 2.40

---

Computed energies relative to the best structure, in eV/atom: w 0.000; x 0.434

---

--- w ---
BiAsPdO: relaxed, PBE.

Output
**SG**: Pmc2_1

Cell: 3.5799 7.3180 5.8207 Å, 90.00 90.00 90.00°
With the nearest neighbours (Å) after each atom.
Fractional positions:
As 0.0000 0.4628 0.4367  2 Pd 2.43
Pd 0.5000 0.7621 0.9234  2 O 2.38-2.49, 2 As 2.43
As 0.0000 0.5372 0.9367  2 Pd 2.43
Bi 0.0000 0.1544 0.8307  2 O 2.30
Bi 0.0000 0.8456 0.3307  2 O 2.30
Pd 0.5000 0.2379 0.4234  2 O 2.38-2.49, 2 As 2.43
O 0.5000 0.0837 0.0632  2 Bi 2.30, 2 Pd 2.38-2.49
O 0.5000 0.9163 0.5632  2 Bi 2.30, 2 Pd 2.38-2.49

---

--- x ---
BiAsPdO: relaxed, PBE.

Output
**SG**: P4/nmm

Cell: 4.0993 4.0993 8.6612 Å, 90.00 90.00 90.00°
With the nearest neighbours (Å) after each atom.
Fractional positions:
As 0.2500 0.2500 0.6673  4 Pd 2.51
Pd 0.2500 0.7500 0.5000  4 As 2.51
Pd 0.7500 0.2500 0.5000  4 As 2.51
As 0.7500 0.7500 0.3327  4 Pd 2.51
O 0.2500 0.7500 0.0000  4 Bi 2.39
Bi 0.2500 0.2500 0.1420  4 O 2.39
Bi 0.7500 0.7500 0.8580  4 O 2.39
O 0.7500 0.2500 0.0000  4 Bi 2.39

---

Computed energies relative to the best structure, in eV/atom: w 0.255; x 0.000

---

--- w ---
PmBiAsO: relaxed, PBE.

Output
**Spin magnetization**: 0.000 μB/atom
**SG**: Pmc2_1

Cell: 4.0091 8.4693 6.2329 Å, 90.00 90.00 90.00°
With the nearest neighbours (Å) after each atom.
Fractional positions:
Pm 0.0000 0.1626 0.4365  2 O 2.18
O 0.5000 0.7360 0.9365  2 Pm 2.18
O 0.5000 0.2640 0.4365  2 Pm 2.18
As 0.0000 0.8123 0.4371  2 Bi 2.81, 3 Pm 2.97-3.13
Bi 0.5000 0.5793 0.4439  1 O 2.67, 2 As 2.81
As 0.0000 0.1877 0.9371  2 Bi 2.81, 3 Pm 2.97-3.13
Bi 0.5000 0.4207 0.9439  1 O 2.67, 2 As 2.81
Pm 0.0000 0.8374 0.9365  2 O 2.18

---

--- x ---
PmBiAsO: relaxed, PBE.

Output
**Spin magnetization**: 0.005 μB/atom
**SG**: P4/nmm

Cell: 4.2873 4.2873 10.1120 Å, 90.00 90.00 90.00°
With the nearest neighbours (Å) after each atom.
Fractional positions:
As 0.0000 0.5000 0.2674  4 Bi 3.18, 4 O 3.45, 4 Pm 3.47
O 0.5000 0.5000 0.0000  4 Pm 2.37
Bi 0.5000 0.5000 0.5000  4 Bi 3.03, 4 As 3.18
Pm 0.0000 0.5000 0.9003  4 O 2.37
Bi 0.0000 0.0000 0.5000  4 Bi 3.03, 4 As 3.18
O 0.0000 0.0000 0.0000  4 Pm 2.37
Pm 0.5000 0.0000 0.0997  4 O 2.37
As 0.5000 0.0000 0.7326  4 Bi 3.18, 4 O 3.45, 4 Pm 3.47

---

Computed energies relative to the best structure, in eV/atom: w 0.112; x 0.000

---

--- w ---
PmBiAsO: relaxed, PBE.

Output
**Spin magnetization**: 0.001 μB/atom
**SG**: Pmc2_1

Cell: 5.3688 6.1239 6.3351 Å, 90.00 90.00 90.00°
With the nearest neighbours (Å) after each atom.
Fractional positions:
Pm 0.5000 0.6940 0.5526  2 O 2.20-2.21
O 0.5000 0.3746 0.3951  2 Pm 2.20-2.21
Bi 0.0000 0.7298 0.9267  2 O 2.77, 2 As 2.82-2.91
As 0.0000 0.8123 0.3797  2 Bi 2.82-2.91, 2 Pm 2.99
Pm 0.5000 0.3060 0.0526  2 O 2.20-2.21
O 0.5000 0.6254 0.8951  2 Pm 2.20-2.21
As 0.0000 0.1877 0.8797  2 Bi 2.82-2.91, 2 Pm 2.99
Bi 0.0000 0.2702 0.4267  2 O 2.77, 2 As 2.82-2.91

---

--- x ---
PmBiAsO: relaxed, PBE.

Output
**Spin magnetization**: 0.003 μB/atom
**SG**: P4/nmm

Cell: 4.8992 4.8992 7.6245 Å, 90.00 90.00 90.00°
With the nearest neighbours (Å) after each atom.
Fractional positions:
Bi 0.5000 0.0000 0.0717  4 O 2.51
As 0.5000 0.0000 0.6994  1 Bi 2.84, 4 Pm 2.88
Pm 0.0000 0.0000 0.5000  4 As 2.88
O 0.0000 0.0000 0.0000  4 Bi 2.51
O 0.5000 0.5000 0.0000  4 Bi 2.51
As 0.0000 0.5000 0.3006  1 Bi 2.84, 4 Pm 2.88
Bi 0.0000 0.5000 0.9283  4 O 2.51
Pm 0.5000 0.5000 0.5000  4 As 2.88

---

Computed energies relative to the best structure, in eV/atom: w 0.000; x 0.458

---

--- w ---
TcBiAsO: relaxed, PBE.

Output
**Spin magnetization**: 0.001 μB/atom
**SG**: Pmc2_1

Cell: 4.3383 6.4899 5.7476 Å, 90.00 90.00 90.00°
With the nearest neighbours (Å) after each atom.
Fractional positions:
As 0.0000 0.7468 0.9675  2 Tc 2.47
Tc 0.5000 0.9267 0.9880  2 O 2.03-2.06
O 0.5000 0.7990 0.3169  2 Tc 2.03-2.06
As 0.0000 0.2532 0.4675  2 Tc 2.47
Tc 0.5000 0.0733 0.4880  2 O 2.03-2.06
Bi 0.0000 0.2720 0.9816  2 O 2.41
O 0.5000 0.2010 0.8169  2 Tc 2.03-2.06
Bi 0.0000 0.7280 0.4816  2 O 2.41

---

--- x ---
TcBiAsO: relaxed, PBE.

Output
**Spin magnetization**: 0.001 μB/atom
**SG**: Pmc2_1

Cell: 3.5707 6.6474 6.9402 Å, 90.00 90.00 90.00°
With the nearest neighbours (Å) after each atom.
Fractional positions:
Tc 0.0000 0.8346 0.9819  2 O 1.98
O 0.5000 0.2582 0.3959  2 Tc 1.98
As 0.0000 0.1530 0.8246  2 Tc 2.38
O 0.5000 0.7418 0.8959  2 Tc 1.98
Bi 0.5000 0.4146 0.0515  2 O 2.43-2.61
Tc 0.0000 0.1654 0.4819  2 O 1.98
Bi 0.5000 0.5854 0.5515  2 O 2.43-2.61
As 0.0000 0.8470 0.3246  2 Tc 2.38

---

--- y ---
TcBiAsO: relaxed, PBE.

Output
**Spin magnetization**: 0.002 μB/atom
**SG**: P4/nmm

Cell: 3.9928 3.9928 9.0261 Å, 90.00 90.00 90.00°
With the nearest neighbours (Å) after each atom.
Fractional positions:
Tc 0.7500 0.2500 0.5000  4 As 2.51
O 0.7500 0.2500 0.0000  4 Bi 2.36
O 0.2500 0.7500 0.0000  4 Bi 2.36
Tc 0.2500 0.7500 0.5000  4 As 2.51
As 0.7500 0.7500 0.3316  4 Tc 2.51
As 0.2500 0.2500 0.6684  4 Tc 2.51
Bi 0.7500 0.7500 0.8616  4 O 2.36
Bi 0.2500 0.2500 0.1384  4 O 2.36

---

Computed energies relative to the best structure, in eV/atom: w 0.320; x 0.361; y 0.000

---

--- w ---
ZnBiAsO: relaxed, PBE.

Output
**SG**: P4/nmm

Cell: 4.3934 4.3934 9.2746 Å, 90.00 90.00 90.00°
With the nearest neighbours (Å) after each atom.
Fractional positions:
Bi 0.7500 0.2500 0.5000  4 As 2.96, 4 Bi 3.11
As 0.7500 0.7500 0.2862  1 Zn 2.67, 4 Bi 2.96
Zn 0.7500 0.7500 0.9985  4 O 2.20
As 0.2500 0.2500 0.7138  1 Zn 2.67, 4 Bi 2.96
O 0.2500 0.7500 0.0000  4 Zn 2.20
Bi 0.2500 0.7500 0.5000  4 As 2.96, 4 Bi 3.11
Zn 0.2500 0.2500 0.0015  4 O 2.20
O 0.7500 0.2500 0.0000  4 Zn 2.20

---

--- x ---
ZnBiAsO: relaxed, PBE.

Output
**SG**: Pbam

Cell: 9.5605 18.5011 3.7387 Å, 90.00 90.00 90.00°
With the nearest neighbours (Å) after each atom.
Fractional positions:
Bi 0.7637 0.8980 0.5000  2 O 2.35-2.51
O 0.5007 0.6356 0.5000  2 Zn 2.07
As 0.7667 0.7271 0.0000  1 Zn 2.60, 2 Bi 2.73
Zn 0.0898 0.8796 0.0000  2 O 2.07
Bi 0.0257 0.2722 0.5000  2 O 2.39-2.54
O 0.4993 0.3644 0.5000  2 Zn 2.07
Zn 0.5664 0.0731 0.0000  2 O 2.04
O 0.4983 0.0993 0.5000  2 Zn 2.04
O 0.0007 0.8644 0.5000  2 Zn 2.07
Zn 0.0664 0.4269 0.0000  2 O 2.04
Zn 0.4102 0.3796 0.0000  2 O 2.07
As 0.2817 0.4965 0.0000  2 Zn 2.43-2.49, 2 Bi 2.71
Bi 0.9743 0.7278 0.5000  2 O 2.39-2.54
As 0.2183 0.9965 0.0000  2 Zn 2.43-2.49, 2 Bi 2.71
As 0.7183 0.5035 0.0000  2 Zn 2.43-2.49, 2 Bi 2.71
O 0.5017 0.9007 0.5000  2 Zn 2.04
Bi 0.4743 0.7722 0.5000  2 O 2.39-2.54
Bi 0.2637 0.6020 0.5000  2 O 2.35-2.51
As 0.7333 0.2271 0.0000  1 Zn 2.60, 2 Bi 2.73
Zn 0.4336 0.9269 0.0000  2 O 2.04
O 0.0017 0.5993 0.5000  2 Zn 2.04
Zn 0.9336 0.5731 0.0000  2 O 2.04
Bi 0.5257 0.2278 0.5000  2 O 2.39-2.54
As 0.2667 0.7729 0.0000  1 Zn 2.60, 2 Bi 2.73
As 0.7817 0.0035 0.0000  2 Zn 2.43-2.49, 2 Bi 2.71
O 0.9983 0.4007 0.5000  2 Zn 2.04
Bi 0.2363 0.1020 0.5000  2 O 2.35-2.51
Bi 0.7363 0.3980 0.5000  2 O 2.35-2.51
Zn 0.9102 0.1204 0.0000  2 O 2.07
O 0.9993 0.1356 0.5000  2 Zn 2.07
As 0.2333 0.2729 0.0000  1 Zn 2.60, 2 Bi 2.73
Zn 0.5898 0.6204 0.0000  2 O 2.07

---

--- y ---
ZnBiAsO: relaxed, PBE.

Output
**SG**: P2_12_12_1

Cell: 6.1375 6.9815 7.4768 Å, 90.00 90.00 90.00°
With the nearest neighbours (Å) after each atom.
Fractional positions:
As 0.8726 0.8200 0.1273  2 Zn 2.47
As 0.3726 0.6800 0.8727  2 Zn 2.47
As 0.1274 0.3200 0.3727  2 Zn 2.47
O 0.1411 0.2478 0.9002  2 Zn 2.00-2.05, 1 Bi 2.24
Bi 0.4383 0.9319 0.1610  1 O 2.24
Zn 0.9604 0.1646 0.1093  2 O 2.00-2.05
As 0.6274 0.1800 0.6273  2 Zn 2.47
Zn 0.4604 0.3354 0.8907  2 O 2.00-2.05
Bi 0.0617 0.0681 0.6610  1 O 2.24
Bi 0.9383 0.5681 0.8390  1 O 2.24
O 0.3589 0.7522 0.4002  2 Zn 2.00-2.05, 1 Bi 2.24
Zn 0.0396 0.6646 0.3907  2 O 2.00-2.05
Bi 0.5617 0.4319 0.3390  1 O 2.24
O 0.8589 0.7478 0.5998  2 Zn 2.00-2.05, 1 Bi 2.24
O 0.6411 0.2522 0.0998  2 Zn 2.00-2.05, 1 Bi 2.24
Zn 0.5396 0.8354 0.6093  2 O 2.00-2.05

---

--- z ---
ZnBiAsO: relaxed, PBE.

Output
**SG**: Pbam

Cell: 9.0613 16.9297 4.4582 Å, 90.00 90.00 90.00°
With the nearest neighbours (Å) after each atom.
Fractional positions:
O 0.2485 0.9617 0.5000  2 Zn 2.06
As 0.5300 0.3747 0.0000  2 Zn 2.47
Zn 0.5879 0.6247 0.5000  2 O 2.06-2.07
O 0.2527 0.2881 0.5000  2 Zn 2.06-2.07
Bi 0.7467 0.7550 0.0000  2 O 2.35
As 0.5260 0.8754 0.0000  2 Zn 2.47
O 0.7485 0.5383 0.5000  2 Zn 2.06
Zn 0.4121 0.3753 0.5000  2 O 2.06-2.07
As 0.0260 0.6246 0.0000  2 Zn 2.47
As 0.9740 0.3754 0.0000  2 Zn 2.47
Bi 0.7533 0.2550 0.0000  2 O 2.35
O 0.2515 0.4617 0.5000  2 Zn 2.06
O 0.2473 0.7881 0.5000  2 Zn 2.06-2.07
O 0.7473 0.7119 0.5000  2 Zn 2.06-2.07
Bi 0.2492 0.5048 0.0000  2 O 2.35
Zn 0.5923 0.1255 0.5000  2 O 2.06
O 0.7515 0.0383 0.5000  2 Zn 2.06
Bi 0.2508 0.0048 0.0000  2 O 2.35
Zn 0.9077 0.6255 0.5000  2 O 2.06
Zn 0.0923 0.3745 0.5000  2 O 2.06
As 0.0300 0.1253 0.0000  2 Zn 2.47
As 0.9700 0.8747 0.0000  2 Zn 2.47
Bi 0.2533 0.2450 0.0000  2 O 2.35
Zn 0.0879 0.8753 0.5000  2 O 2.06-2.07
Zn 0.9121 0.1247 0.5000  2 O 2.06-2.07
As 0.4700 0.6253 0.0000  2 Zn 2.47
Bi 0.7492 0.9952 0.0000  2 O 2.35
O 0.7527 0.2119 0.5000  2 Zn 2.06-2.07
As 0.4740 0.1246 0.0000  2 Zn 2.47
Bi 0.7508 0.4952 0.0000  2 O 2.35
Zn 0.4077 0.8745 0.5000  2 O 2.06
Bi 0.2467 0.7450 0.0000  2 O 2.35

---

Computed energies relative to the best structure, in eV/atom: w 0.480; x 0.087; y 0.000; z 0.005

---

--- w ---
ZnBiAsO: relaxed, PBE.

Output
**SG**: P4/nmm

Cell: 4.0018 4.0018 9.1341 Å, 90.00 90.00 90.00°
With the nearest neighbours (Å) after each atom.
Fractional positions:
O 0.2500 0.7500 0.0000  4 Bi 2.36
Bi 0.2500 0.2500 0.1362  4 O 2.36
Zn 0.7500 0.2500 0.5000  4 As 2.57, 4 Zn 2.83
As 0.7500 0.7500 0.3239  4 Zn 2.57
O 0.7500 0.2500 0.0000  4 Bi 2.36
Zn 0.2500 0.7500 0.5000  4 As 2.57, 4 Zn 2.83
Bi 0.7500 0.7500 0.8638  4 O 2.36
As 0.2500 0.2500 0.6761  4 Zn 2.57

---

--- x ---
ZnBiAsO: relaxed, PBE.

Output
**SG**: P4/nmm

Cell: 3.8253 3.8253 10.6668 Å, 90.00 90.00 90.00°
With the nearest neighbours (Å) after each atom.
Fractional positions:
Zn 0.0000 0.5000 0.6472  5 As 2.55-2.77
O 0.0000 0.0000 0.0000  4 Bi 2.33
Bi 0.0000 0.5000 0.1245  4 O 2.33
O 0.5000 0.5000 0.0000  4 Bi 2.33
Zn 0.5000 0.0000 0.3528  5 As 2.55-2.77
Bi 0.5000 0.0000 0.8755  4 O 2.33
As 0.0000 0.5000 0.4083  5 Zn 2.55-2.77
As 0.5000 0.0000 0.5917  5 Zn 2.55-2.77

---

--- y ---
ZnBiAsO: relaxed, PBE.

Output
**SG**: Cm

Cell: 4.5016 4.5016 9.0104 Å, 92.70 92.70 92.46°
With the nearest neighbours (Å) after each atom.
Fractional positions:
Bi 0.8716 0.8716 0.2621  2 As 2.77-2.89
O 0.5884 0.0077 0.6656  1 As 1.82, 1 Zn 2.01
Zn 0.8661 0.2685 0.8025  2 O 2.01-2.04
O 0.0077 0.5884 0.6656  1 As 1.82, 1 Zn 2.01
As 0.6902 0.6902 0.5494  2 O 1.82
Bi 0.3901 0.3901 0.9772  1 As 2.75, 4 Zn 2.78-2.79
Zn 0.2685 0.8661 0.8025  2 O 2.01-2.04
As 0.3174 0.3174 0.2752  2 Bi 2.75-2.77

---

--- z ---
ZnBiAsO: relaxed, PBE.

Output
**SG**: Pmc2_1

Cell: 3.7052 6.7644 6.7001 Å, 90.00 90.00 90.00°
With the nearest neighbours (Å) after each atom.
Fractional positions:
O 0.5000 0.2579 0.3735  2 Zn 2.09, 1 Bi 2.30
Zn 0.0000 0.8484 0.9687  2 O 2.09
O 0.5000 0.7421 0.8735  2 Zn 2.09, 1 Bi 2.30
Bi 0.5000 0.4034 0.0634  1 O 2.30
As 0.0000 0.8063 0.3484  2 Zn 2.47-2.56, 2 Bi 2.74
As 0.0000 0.1937 0.8484  2 Zn 2.47-2.56, 2 Bi 2.74
Bi 0.5000 0.5966 0.5634  1 O 2.30
Zn 0.0000 0.1516 0.4687  2 O 2.09

---

Computed energies relative to the best structure, in eV/atom: w 0.000; x 0.308; y 0.165; z 0.085

---

--- w ---
ZrBiAsO: relaxed, PBE.

Output
**Spin magnetization**: 0.000 μB/atom
**SG**: P4/nmm

Cell: 4.4346 4.4346 8.3647 Å, 90.00 90.00 89.99°
With the nearest neighbours (Å) after each atom.
Fractional positions:
Zr 0.2500 0.7500 0.5000  4 As 2.71
As 0.7500 0.7500 0.3143  4 Zr 2.71
Bi 0.2500 0.2500 0.1148  4 O 2.42
As 0.2500 0.2500 0.6857  4 Zr 2.71
O 0.7500 0.2500 0.0000  4 Bi 2.42
Bi 0.7500 0.7500 0.8852  4 O 2.42
Zr 0.7500 0.2500 0.5000  4 As 2.71
O 0.2500 0.7500 0.0000  4 Bi 2.42

---

--- x ---
ZrBiAsO: relaxed, PBE.

Output
**Spin magnetization**: 0.001 μB/atom
**SG**: P4/nmm

Cell: 4.1345 4.1345 9.5378 Å, 90.00 90.00 90.00°
With the nearest neighbours (Å) after each atom.
Fractional positions:
As 0.0000 0.5000 0.2345  4 O 3.05, 5 Zr 3.09-3.23, 4 Bi 3.27
O 0.0000 0.0000 0.0000  4 Zr 2.24
O 0.5000 0.5000 0.0000  4 Zr 2.24
Zr 0.5000 0.0000 0.0898  4 O 2.24
Bi 0.0000 0.0000 0.5000  4 Bi 2.92, 4 As 3.27
Zr 0.0000 0.5000 0.9102  4 O 2.24
As 0.5000 0.0000 0.7655  4 O 3.05, 5 Zr 3.09-3.23, 4 Bi 3.27
Bi 0.5000 0.5000 0.5000  4 Bi 2.92, 4 As 3.27

---

Computed energies relative to the best structure, in eV/atom: w 0.249; x 0.000